Sb3Pd5I12 | PBE | relaxed

Calculated values
**Crystal system**: cubic
**SG**: Ia-3d
**VASP energy**: -225.79 eV per cell
**ΔE_f (raw)**: 0.0243 eV/atom
**Calculated volume**: 663 Å³/f.u.
**Size of the total moment**: 0.00 μB/f.u.

a = 15.1007 Å, b = 15.1007 Å, c = 15.1007 Å
α = 109.47°, β = 109.47°, γ = 109.47°
With the nearest neighbours (Å) after each atom.
Fractional positions:
1 Pd 0.6250 0.7500 0.8750  4 I 2.66
2 Pd 0.0000 0.5000 0.5000  6 I 2.86
3 Pd 0.5000 0.0000 0.0000  6 I 2.86
4 Pd 0.3750 0.1250 0.7500  4 I 2.66
5 Pd 0.8750 0.2500 0.6250  4 I 2.66
6 Pd 0.0000 0.0000 0.0000  6 I 2.86
7 Pd 0.0000 0.0000 0.5000  6 I 2.86
8 Pd 0.2500 0.3750 0.6250  4 I 2.66
9 Pd 0.5000 0.5000 0.5000  6 I 2.86
10 Pd 0.7500 0.1250 0.8750  4 I 2.66
11 Pd 0.6250 0.8750 0.2500  4 I 2.66
12 Pd 0.3750 0.2500 0.1250  4 I 2.66
13 Pd 0.5000 0.5000 0.0000  6 I 2.86
14 Pd 0.7500 0.6250 0.3750  4 I 2.66
15 Pd 0.5000 0.0000 0.5000  6 I 2.86
16 Pd 0.1250 0.7500 0.3750  4 I 2.66
17 Pd 0.1250 0.3750 0.2500  4 I 2.66
18 Pd 0.8750 0.6250 0.7500  4 I 2.66
19 Pd 0.2500 0.8750 0.1250  4 I 2.66
20 Pd 0.0000 0.5000 0.0000  6 I 2.86
21 I 0.7891 0.4664 0.3770  2 Pd 2.66-2.86
22 I 0.4120 0.1230 0.5894  2 Pd 2.66-2.86
23 I 0.4120 0.2891 0.3226  2 Pd 2.66-2.86
24 I 0.8226 0.9120 0.2891  2 Pd 2.66-2.86
25 I 0.0880 0.1774 0.2109  2 Pd 2.66-2.86
26 I 0.6230 0.0336 0.2109  2 Pd 2.66-2.86
27 I 0.9664 0.3770 0.2891  2 Pd 2.66-2.86
28 I 0.7891 0.3226 0.9120  2 Pd 2.66-2.86
29 I 0.0894 0.9120 0.1230  2 Pd 2.66-2.86
30 I 0.0336 0.4106 0.8226  2 Pd 2.66-2.86
31 I 0.6230 0.5894 0.9120  2 Pd 2.66-2.86
32 I 0.2891 0.4120 0.8226  2 Pd 2.66-2.86
33 I 0.5894 0.6230 0.4120  2 Pd 2.66-2.86
34 I 0.9120 0.0894 0.6230  2 Pd 2.66-2.86
35 I 0.5336 0.2109 0.1230  2 Pd 2.66-2.86
36 I 0.9120 0.8226 0.7891  2 Pd 2.66-2.86
37 I 0.8770 0.2891 0.4664  2 Pd 2.66-2.86
38 I 0.2891 0.8770 0.9664  2 Pd 2.66-2.86
39 I 0.3226 0.7891 0.4120  2 Pd 2.66-2.86
40 I 0.5880 0.7109 0.6774  2 Pd 2.66-2.86
41 I 0.6774 0.4664 0.5894  2 Pd 2.66-2.86
42 I 0.1774 0.0894 0.9664  2 Pd 2.66-2.86
43 I 0.6774 0.2109 0.5880  2 Pd 2.66-2.86
44 I 0.7109 0.1230 0.0336  2 Pd 2.66-2.86
45 I 0.3770 0.4106 0.0880  2 Pd 2.66-2.86
46 I 0.5336 0.3226 0.9106  2 Pd 2.66-2.86
47 I 0.9106 0.8226 0.5336  2 Pd 2.66-2.86
48 I 0.4106 0.0336 0.3226  2 Pd 2.66-2.86
49 I 0.2109 0.6774 0.0880  2 Pd 2.66-2.86
50 I 0.1230 0.7109 0.5336  2 Pd 2.66-2.86
51 I 0.4106 0.3770 0.5880  2 Pd 2.66-2.86
52 I 0.2109 0.5336 0.6230  2 Pd 2.66-2.86
53 I 0.7109 0.5880 0.1774  2 Pd 2.66-2.86
54 I 0.9664 0.5894 0.1774  2 Pd 2.66-2.86
55 I 0.5894 0.9664 0.6774  2 Pd 2.66-2.86
56 I 0.8770 0.5880 0.9106  2 Pd 2.66-2.86
57 I 0.1774 0.0880 0.7109  2 Pd 2.66-2.86
58 I 0.9106 0.0880 0.8770  2 Pd 2.66-2.86
59 I 0.0880 0.9106 0.3770  2 Pd 2.66-2.86
60 I 0.5880 0.8770 0.4106  2 Pd 2.66-2.86
61 I 0.4664 0.7891 0.8770  2 Pd 2.66-2.86
62 I 0.8226 0.9106 0.0336  2 Pd 2.66-2.86
63 I 0.3226 0.5336 0.4106  2 Pd 2.66-2.86
64 I 0.1230 0.4120 0.0894  2 Pd 2.66-2.86
65 I 0.0894 0.1774 0.4664  2 Pd 2.66-2.86
66 I 0.3770 0.9664 0.7891  2 Pd 2.66-2.86
67 I 0.4664 0.6774 0.0894  2 Pd 2.66-2.86
68 I 0.0336 0.6230 0.7109  2 Pd 2.66-2.86
69 Sb 0.2500 0.1250 0.3750  8 I 3.35-3.36
70 Sb 0.8750 0.1250 0.2500  8 I 3.35-3.36
71 Sb 0.3750 0.6250 0.2500  8 I 3.35-3.36
72 Sb 0.2500 0.6250 0.8750  8 I 3.35-3.36
73 Sb 0.8750 0.7500 0.1250  8 I 3.35-3.36
74 Sb 0.7500 0.8750 0.6250  8 I 3.35-3.36
75 Sb 0.6250 0.2500 0.3750  8 I 3.35-3.36
76 Sb 0.7500 0.3750 0.1250  8 I 3.35-3.36
77 Sb 0.1250 0.8750 0.7500  8 I 3.35-3.36
78 Sb 0.6250 0.3750 0.7500  8 I 3.35-3.36
79 Sb 0.3750 0.7500 0.6250  8 I 3.35-3.36
80 Sb 0.1250 0.2500 0.8750  8 I 3.35-3.36

SbPd2I3 | PBE | relaxed

Calculated values
**Crystal system**: monoclinic
**SG**: C2/m
**VASP energy**: -40.45 eV per cell
**ΔE_f (raw)**: -0.1778 eV/atom
**Calculated volume**: 200 Å³/f.u.
**Size of the total moment**: 0.00 μB/f.u.

a = 4.1230 Å, b = 9.1732 Å, c = 11.0559 Å
α = 83.39°, β = 79.25°, γ = 77.01°
With the nearest neighbours (Å) after each atom.
Fractional positions:
1 Sb 0.4311 0.4378 0.7000  4 Pd 2.60-2.71
2 Sb 0.5689 0.5622 0.3000  4 Pd 2.60-2.71
3 Pd 0.4082 0.6557 0.5278  2 Sb 2.60-2.67, 2 I 2.67, 1 Pd 2.89
4 Pd 0.1331 0.5953 0.1385  4 I 2.66-2.96, 2 Sb 2.71
5 Pd 0.8669 0.4047 0.8615  4 I 2.66-2.96, 2 Sb 2.71
6 Pd 0.5918 0.3443 0.4722  2 Sb 2.60-2.67, 2 I 2.67, 1 Pd 2.89
7 I 0.7903 0.8087 0.6107  2 Pd 2.67
8 I 0.2097 0.1913 0.3893  2 Pd 2.67
9 I 0.9526 0.8603 0.2345  1 Pd 2.66
10 I 0.6850 0.6795 0.9504  3 Pd 2.71-2.96
11 I 0.3150 0.3205 0.0496  3 Pd 2.71-2.96
12 I 0.0474 0.1397 0.7655  1 Pd 2.66

Sb2Pd4I | PBE | relaxed

Calculated values
**Crystal system**: triclinic
**SG**: P1
**VASP energy**: -65.04 eV per cell
**ΔE_f (raw)**: -0.2791 eV/atom
**Calculated volume**: 153 Å³/f.u.
**Size of the total moment**: 0.00 μB/f.u.

a = 7.8386 Å, b = 7.8427 Å, c = 7.3596 Å
α = 128.35°, β = 107.34°, γ = 97.89°
With the nearest neighbours (Å) after each atom.
Fractional positions:
1 Pd 0.7763 0.6310 0.2724  3 Sb 2.69-2.72, 1 I 2.87, 1 Pd 2.93
2 Pd 0.4795 0.1707 0.7361  4 Sb 2.70-2.77, 1 I 2.90, 3 Pd 2.93-2.98
3 Pd 0.8919 0.2505 0.7759  3 Sb 2.69-2.73, 1 I 2.87, 1 Pd 2.93
4 Pd 0.3850 0.7747 0.8926  3 Sb 2.63-2.76, 1 I 2.79, 2 Pd 2.89-2.94
5 Pd 0.9592 0.5400 0.6354  3 Sb 2.70-2.73, 1 I 2.86, 2 Pd 2.89-2.98
6 Pd 0.3660 0.2538 0.3893  3 Sb 2.63-2.76, 1 I 2.78, 2 Pd 2.89-2.93
7 Pd 0.8159 0.0067 0.2370  4 Sb 2.70-2.77, 1 I 2.91, 3 Pd 2.93-2.98
8 Pd 0.3460 0.4262 0.1361  3 Sb 2.70-2.73, 1 I 2.86, 2 Pd 2.89-2.98
9 I 0.1818 0.7059 0.4546  5 Pd 2.79-3.07
10 I 0.9978 0.0233 0.9531  5 Pd 2.78-3.07
11 Sb 0.1861 0.3230 0.6810  7 Pd 2.69-2.77
12 Sb 0.6081 0.2439 0.1798  7 Pd 2.69-2.77
13 Sb 0.7119 0.5351 0.8272  6 Pd 2.63-2.73
14 Sb 0.5445 0.8654 0.3295  6 Pd 2.63-2.73

SbPdI | PBE | relaxed

Calculated values
**Crystal system**: triclinic
**SG**: P1
**VASP energy**: -23.05 eV per cell
**ΔE_f (raw)**: -0.2206 eV/atom
**Calculated volume**: 85 Å³/f.u.
**Size of the total moment**: 0.00 μB/f.u.

a = 4.3616 Å, b = 3.9562 Å, c = 12.0029 Å
α = 80.66°, β = 103.22°, γ = 63.00°
With the nearest neighbours (Å) after each atom.
Fractional positions:
1 Sb 0.6504 0.9554 0.3047  6 Pd 2.69-2.80
2 Sb 0.1212 0.1080 0.5340  3 Pd 2.73-2.83
3 Pd 0.3832 0.5358 0.4137  6 Sb 2.69-2.83
4 Pd 0.9100 0.3833 0.1870  3 Sb 2.73-2.80, 3 I 2.81-2.96
5 I 0.1313 0.5010 0.7367  2 Sb 3.10-3.11
6 I 0.1602 0.8267 0.0468  3 Pd 2.81-2.96

SbPdI | PBE | relaxed

Calculated values
**Crystal system**: monoclinic
**SG**: P2_1/m
**VASP energy**: -45.28 eV per cell
**ΔE_f (raw)**: -0.1511 eV/atom
**Calculated volume**: 79 Å³/f.u.
**Size of the total moment**: 0.00 μB/f.u.

a = 5.8140 Å, b = 7.8588 Å, c = 7.2194 Å
α = 105.99°, β = 90.00°, γ = 90.00°
With the nearest neighbours (Å) after each atom.
Fractional positions:
1 Pd 0.2500 0.0846 0.8376  2 Sb 2.65, 4 I 2.91
2 Pd 0.7500 0.4154 0.1624  2 Sb 2.65, 4 I 2.91
3 Pd 0.2500 0.5846 0.8376  2 Sb 2.65, 4 I 2.91
4 Pd 0.7500 0.9154 0.1624  2 Sb 2.65, 4 I 2.91
5 Sb 0.2501 0.2701 0.5822  2 Pd 2.65
6 Sb 0.7501 0.2299 0.4178  2 Pd 2.65
7 Sb 0.7499 0.7299 0.4178  2 Pd 2.65
8 Sb 0.2499 0.7701 0.5822  2 Pd 2.65
9 I 0.7500 0.0871 0.8533  4 Pd 2.91
10 I 0.2500 0.9129 0.1467  4 Pd 2.91
11 I 0.2500 0.4129 0.1467  4 Pd 2.91
12 I 0.7500 0.5871 0.8533  4 Pd 2.91

ScSbPdI2 | PBE | relaxed

Calculated values
**Crystal system**: tetragonal
**SG**: P4/mmm
**VASP energy**: -18.02 eV per cell
**ΔE_f (raw)**: 0.1463 eV/atom
**Calculated volume**: 155 Å³/f.u.
**Size of the total moment**: 0.15 μB/f.u.

a = 5.3340 Å, b = 5.3340 Å, c = 5.4525 Å
α = 90.00°, β = 90.00°, γ = 90.00°
With the nearest neighbours (Å) after each atom.
Fractional positions:
1 Sb 0.0000 0.0000 0.5000  2 Pd 2.73
2 I 0.5000 0.0000 0.0000  2 Pd 2.67
3 I 0.0000 0.5000 0.0000  2 Pd 2.67
4 Pd 0.0000 0.0000 0.0000  4 I 2.67, 2 Sb 2.73
5 Sc 0.5000 0.5000 0.5000  4 Sb 3.77, 8 I 3.81